(1)
This record from Alexandria describes a geometry-optimized TaTcAu2 structure. The functional is PBEsol.

Lattice parameters (Å, degrees): 3.4693 3.4693 5.4352 90.00 90.00 90.00
Last column: nearest neighbours and their distance in Å.
Space group P4/mmm (No. 123)
Inequivalent atoms, fractional coordinates:
Ta (0.0000, 0.0000, 0.0000)  2 Tc 2.72, 8 Au 2.81
Tc (0.0000, 0.0000, 0.5000)  2 Ta 2.72, 8 Au 2.80
Au (0.5000, 0.5000, 0.2523)  2 Au 2.69-2.74, 4 Tc 2.80, 4 Ta 2.81

Values from the calculation:
Its formation enthalpy at 0 K is 0.233 eV per atom. The value obtained for the total energy is -30.73 eV per cell. The calculation puts the polymorph energy (0 for the lowest one) at 0.000 eV per atom. Its volume is 65 Å³/cell.

(2)
This record from Alexandria describes a geometry-optimized Li2AgHg structure. The functional is PBEsol.

Lattice parameters (Å, degrees): 4.0178 4.0178 8.1557 90.00 90.00 90.00
Last column: nearest neighbours and their distance in Å.
Space group I-4m2 (No. 119)
Inequivalent atoms, fractional coordinates:
Li (0.0000, 0.0000, 0.0000)  4 Hg 2.84, 4 Li 2.86, 4 Ag 2.86
Li (0.0000, 0.5000, 0.2500)  4 Ag 2.84, 4 Hg 2.86, 4 Li 2.86
Ag (0.0000, 0.5000, 0.7500)  8 Li 2.84-2.86, 4 Hg 2.86
Hg (0.0000, 0.0000, 0.5000)  8 Li 2.84-2.86, 4 Ag 2.86

Values from the calculation:
Its formation enthalpy at 0 K is -0.311 eV per atom. The value obtained for the total energy is -18.11 eV per cell. Its volume is 132 Å³/cell.

(3)
This record from Alexandria describes a geometry-optimized Zr2FeP structure. The functional is PBEsol.

Lattice parameters (Å, degrees): 3.5027 3.5027 5.5038 90.00 90.00 90.00
Last column: nearest neighbours and their distance in Å.
Space group P4mm (No. 99)
Inequivalent atoms, fractional coordinates:
Zr (0.0000, 0.0000, 0.0000)  1 Fe 2.53, 4 P 2.67
Zr (0.5000, 0.5000, 0.3273)  2 P 2.71-2.79, 4 Fe 2.74
Fe (0.0000, 0.0000, 0.5409)  5 Zr 2.53-2.74
P (0.5000, 0.5000, 0.8196)  6 Zr 2.67-2.79, 4 Fe 2.91

Values from the calculation:
Its formation enthalpy at 0 K is -0.394 eV per atom. The value obtained for the total energy is -34.51 eV per cell. Its volume is 68 Å³/cell.

(4)
This record from Alexandria describes a geometry-optimized YWN3 structure. The functional is PBEsol.

Lattice parameters (Å, degrees): 10.9523 9.3680 6.2045 90.00 111.16 90.00
Last column: nearest neighbours and their distance in Å.
Space group C2/c (No. 15)
Inequivalent atoms, fractional coordinates:
Y (0.0000, 0.0884, 0.2500)  6 N 2.27-2.41
Y (0.0000, 0.2959, 0.7500)  6 N 2.31-2.50
W (0.2097, 0.4088, 0.2339)  4 N 1.79-1.93
N (0.1094, 0.1108, 0.6519)  1 W 1.86
N (0.1341, 0.2380, 0.1514)  1 W 1.79
N (0.1409, 0.4981, 0.4459)  2 W 1.88-1.93

Values from the calculation:
The value obtained for the total energy is -413.82 eV per cell. Its formation energy without anion corrections is -5.52 eV/f.u. Its volume is 594 Å³/cell.

(5)
This record from Alexandria describes a geometry-optimized Al2O3 structure. The functional is PBEsol.

Lattice parameters (Å, degrees): 9.6722 5.6358 27.3206 90.00 90.63 90.00
Last column: nearest neighbours and their distance in Å.
Space group Cm (No. 8)
Inequivalent atoms, fractional coordinates:
Al (0.0000, 0.0000, 0.0000)  3 O 1.82
Al (0.9999, 0.0000, 0.6948)  4 O 1.75-1.86
Al (0.0053, 0.0000, 0.3194)  4 O 1.75-1.83
Al (0.0046, 0.0000, 0.8153)  4 O 1.75-1.81
Al (0.0794, 0.2443, 0.9233)  6 O 1.83-1.97
Al (0.0809, 0.2448, 0.4274)  6 O 1.82-2.00
Al (0.1525, 0.5000, 0.8350)  6 O 1.81-2.01
Al (0.1539, 0.5000, 0.3382)  6 O 1.82-1.98
Al (0.1666, 0.5000, 0.0243)  4 O 1.76-1.85
Al (0.1688, 0.0000, 0.5869)  6 O 1.85-1.94
Al (0.1693, 0.5000, 0.5306)  4 O 1.75-1.84
Al (0.1730, 0.0000, 0.0889)  6 O 1.80-1.95
Al (0.1761, 0.5000, 0.1571)  4 O 1.73-1.83
Al (0.1785, 0.5000, 0.6525)  4 O 1.73-1.86
Al (0.2522, 0.2500, 0.2586)  6 O 1.89-1.96
Al (0.2522, 0.2501, 0.7557)  6 O 1.89-1.94
Al (0.3250, 0.0000, 0.8599)  4 O 1.76-1.84
Al (0.3258, 0.0000, 0.3614)  4 O 1.76-1.85
Al (0.3344, 0.5000, 0.9229)  6 O 1.84-1.95
Al (0.3350, 0.0000, 0.4837)  4 O 1.75-1.81
Al (0.3352, 0.5000, 0.4270)  6 O 1.84-1.95
Al (0.3483, 0.0000, 0.1781)  4 O 1.80-1.95
Al (0.3504, 0.0000, 0.6758)  6 O 1.81-2.01
Al (0.4183, 0.2465, 0.0887)  6 O 1.79-1.99
Al (0.4234, 0.2554, 0.5866)  6 O 1.84-1.98
Al (0.4990, 0.5000, 0.1960)  4 O 1.75-1.88
O (0.0040, 0.0000, 0.1271)  4 Al 1.88-1.95
O (0.0062, 0.0000, 0.6269)  4 Al 1.86-1.93
O (0.0059, 0.5000, 0.8814)  4 Al 1.84-1.97
O (0.0071, 0.5000, 0.3835)  4 Al 1.85-2.00
O (0.0807, 0.2360, 0.0501)  4 Al 1.85-2.06
O (0.0865, 0.2465, 0.5529)  3 Al 1.75-1.85
O (0.0975, 0.2508, 0.3007)  3 Al 1.75-1.90
O (0.0968, 0.2523, 0.7973)  3 Al 1.75-1.89
O (0.1501, 0.0000, 0.9605)  3 Al 1.82-1.84
O (0.1643, 0.5000, 0.9598)  4 Al 1.76-1.94
O (0.1660, 0.0000, 0.4598)  3 Al 1.75-1.83
O (0.1657, 0.5000, 0.4632)  4 Al 1.84-1.92
O (0.1788, 0.0000, 0.2158)  4 Al 1.82-1.96
O (0.1794, 0.5000, 0.2204)  3 Al 1.73-1.89
O (0.1801, 0.0000, 0.7135)  4 Al 1.81-1.95
O (0.1807, 0.5000, 0.7159)  3 Al 1.73-1.90
O (0.2401, 0.2707, 0.8822)  4 Al 1.84-2.01
O (0.2409, 0.2719, 0.3843)  4 Al 1.85-1.98
O (0.2578, 0.2363, 0.1315)  4 Al 1.83-2.04
O (0.2631, 0.2287, 0.6285)  4 Al 1.86-2.01
O (0.3227, 0.0000, 0.7954)  3 Al 1.76-1.90
O (0.3241, 0.0000, 0.2971)  3 Al 1.76-1.89
O (0.3241, 0.5000, 0.7964)  4 Al 1.81-1.98
O (0.3258, 0.5000, 0.2996)  4 Al 1.81-1.98
O (0.3370, 0.0000, 0.0585)  3 Al 1.79-1.80
O (0.3385, 0.0000, 0.5501)  4 Al 1.81-1.93
O (0.3393, 0.5000, 0.5530)  3 Al 1.75-1.84
O (0.3438, 0.5000, 0.0500)  4 Al 1.84-2.05
O (0.4059, 0.2497, 0.2143)  3 Al 1.75-1.93
O (0.4070, 0.2489, 0.7125)  3 Al 1.75-1.92
O (0.4171, 0.2521, 0.4599)  3 Al 1.76-1.84
O (0.4233, 0.2750, 0.9605)  3 Al 1.82-1.84
O (0.4970, 0.0000, 0.6294)  4 Al 1.86-1.98
O (0.4968, 0.5000, 0.8810)  4 Al 1.80-1.96
O (0.4981, 0.5000, 0.3865)  4 Al 1.83-1.94
O (0.4989, 0.0000, 0.1326)  4 Al 1.83-1.99

Values from the calculation:
The value obtained for the total energy is -1245.90 eV per cell. Its formation energy without anion corrections is -15.00 eV/f.u. Its volume is 1489 Å³/cell.

(6)
This record from Alexandria describes a geometry-optimized LiRe2P structure. The functional is PBEsol.

Lattice parameters (Å, degrees): 2.9714 4.0868 8.3741 90.00 90.00 90.00
Last column: nearest neighbours and their distance in Å.
Space group Imm2 (No. 44)
Inequivalent atoms, fractional coordinates:
Li (0.0000, 0.0000, 0.0000)  2 P 2.51, 6 Re 2.54-2.69
Re (0.0000, 0.0000, 0.4686)  2 P 2.41, 4 Li 2.54, 2 Re 2.66
Re (0.0000, 0.5000, 0.2321)  4 P 2.53, 2 Re 2.66, 4 Li 2.69-2.82
P (0.0000, 0.5000, 0.7416)  6 Re 2.41-2.53, 2 Li 2.51

Values from the calculation:
Its formation enthalpy at 0 K is 0.113 eV per atom. The value obtained for the total energy is -67.94 eV per cell. Its volume is 102 Å³/cell.

(7)
This record from Alexandria describes a geometry-optimized Mn3ZnPd structure. The functional is PBEsol.

Lattice parameters (Å, degrees): 4.4600 4.4600 4.4600 90.00 90.00 90.00
Last column: nearest neighbours and their distance in Å.
Space group Pm-3m (No. 221)
Inequivalent atoms, fractional coordinates:
Mn (0.0000, 0.0000, 0.5000)  2 Zn 2.23
Zn (0.0000, 0.0000, 0.0000)  6 Mn 2.23
Pd (0.5000, 0.5000, 0.5000)  12 Mn 3.15

Values from the calculation:
Its formation enthalpy at 0 K is 1.175 eV per atom. The value obtained for the total energy is -30.95 eV per cell. Its volume is 89 Å³/cell.

(8)
This record from Alexandria describes a geometry-optimized TaBeSi structure. The functional is PBEsol.

Lattice parameters (Å, degrees): 3.6586 3.6586 3.2681 90.00 90.00 120.00
Last column: nearest neighbours and their distance in Å.
Space group P-6m2 (No. 187)
Inequivalent atoms, fractional coordinates:
Ta (0.0000, 0.0000, 0.0000)  6 Be 2.67, 6 Si 2.67
Be (0.6667, 0.3333, 0.5000)  3 Si 2.11
Si (0.3333, 0.6667, 0.5000)  3 Be 2.11

Values from the calculation:
The value obtained for the total energy is -23.24 eV per cell. Its formation energy without anion corrections is -0.94 eV/f.u. Its volume is 38 Å³/cell.